1.
DFT (PBE-GGA) results for a geometry-optimized Th4SiSb2Se structure.

Unit cell a=4.3527 b=7.6647 c=7.5167 alpha=70.78 beta=90.00 gamma=90.00
Fractional coordinates of all 8 atoms:
Th  0.0000  0.7257  0.7508
Th  0.0000  0.2743  0.2492
Th  0.5000  0.7231  0.2654
Th  0.5000  0.2769  0.7346
Si  0.0000  0.5000  0.5000
Sb  0.0000  0.0000  0.0000
Sb  0.5000  0.0000  0.5000
Se  0.5000  0.5000  0.0000

## Properties
D(E_F), states/eV/cell: 4.3

=====

2.
DFT (PBE-GGA) results for a geometry-optimized Th6Si2Sb3Se structure.

Unit cell a=4.3500 b=8.8142 c=9.8451 alpha=104.15 beta=102.76 gamma=90.00
Fractional coordinates of all 12 atoms:
Th  0.3346  0.8966  0.6691
Th  0.6735  0.5678  0.3470
Th  0.6654  0.1034  0.3309
Th  0.0085  0.2429  0.0169
Th  0.9915  0.7571  0.9831
Th  0.3265  0.4322  0.6530
Si  0.8336  0.6682  0.6673
Si  0.1664  0.3318  0.3327
Sb  0.5000  0.5000  0.0000
Sb  0.8362  0.1671  0.6724
Sb  0.1638  0.8329  0.3276
Se  0.5000  0.0000  0.0000

## Properties
D(E_F), states/eV/cell: 6.0

=====

3.
DFT (PBE-GGA) results for a geometry-optimized Th8Si3SbSe4 structure.

Unit cell a=8.6114 b=8.5129 c=8.6124 alpha=120.38 beta=120.00 gamma=90.00
Fractional coordinates of all 16 atoms:
Th  0.2570  0.7440  0.9870
Th  0.2567  0.7438  0.5135
Th  0.2561  0.2682  0.5121
Th  0.7301  0.7440  0.9870
Th  0.2699  0.2560  0.0130
Th  0.7439  0.7318  0.4879
Th  0.7433  0.2562  0.4865
Th  0.7430  0.2560  0.0130
Si  0.5000  0.5000  0.0000
Si  0.5000  0.5000  0.5000
Si  0.0000  0.5000  0.5000
Sb  0.0000  0.5000  0.0000
Se  0.5000  0.0000  0.0000
Se  0.5000  0.0000  0.5000
Se  0.0000  0.0000  0.0000
Se  0.0000  0.0000  0.5000

## Properties
D(E_F), states/eV/cell: 10.1

=====

4.
DFT (PBE-GGA) results for a geometry-optimized TlSiSbSe4 structure.

Unit cell a=6.7966 b=7.0400 c=9.0420 alpha=90.00 beta=108.22 gamma=90.00
Fractional coordinates of all 14 atoms:
Tl  0.7630  0.7500  0.9367
Tl  0.2370  0.2500  0.0633
Si  0.2264  0.7500  0.3220
Si  0.7736  0.2500  0.6780
Sb  0.7600  0.7500  0.4712
Sb  0.2400  0.2500  0.5288
Se  0.9962  0.5046  0.7212
Se  0.0038  0.0046  0.2788
Se  0.0038  0.4954  0.2788
Se  0.9962  0.9954  0.7212
Se  0.4338  0.7500  0.1700
Se  0.5662  0.2500  0.8300
Se  0.4301  0.7500  0.5794
Se  0.5699  0.2500  0.4206

=====

5.
DFT (PBE-GGA) results for a geometry-optimized Tl2SiSbSe4 structure.

Unit cell a=6.2002 b=9.1638 c=9.1955 alpha=90.00 beta=90.00 gamma=90.00
Fractional coordinates of all 16 atoms:
Tl  0.4278  0.3567  0.2359
Tl  0.4278  0.3567  0.7641
Tl  0.9278  0.6433  0.7359
Tl  0.9278  0.6433  0.2641
Si  0.5280  0.8900  0.5000
Si  0.0280  0.1100  0.0000
Sb  0.9456  0.1845  0.5000
Sb  0.4456  0.8155  0.0000
Se  0.4047  0.1084  0.0000
Se  0.9047  0.8916  0.5000
Se  0.4225  0.1362  0.5000
Se  0.9225  0.8638  0.0000
Se  0.4217  0.7505  0.6966
Se  0.9217  0.2495  0.1966
Se  0.9217  0.2495  0.8034
Se  0.4217  0.7505  0.3034

## Properties
D(E_F), states/eV/cell: 5.0

=====

6.
DFT (PBE-GGA) results for a geometry-optimized Tm6Si2SbSe3 structure.

Unit cell a=4.1057 b=8.2482 c=9.1794 alpha=102.64 beta=102.92 gamma=90.00
Fractional coordinates of all 12 atoms:
Tm  0.3289  0.8968  0.6579
Tm  0.6715  0.5750  0.3430
Tm  0.6711  0.1032  0.3421
Tm  0.0070  0.2611  0.0140
Tm  0.9930  0.7389  0.9860
Tm  0.3285  0.4250  0.6570
Si  0.8327  0.6643  0.6654
Si  0.1673  0.3357  0.3346
Sb  0.5000  0.0000  0.0000
Se  0.5000  0.5000  0.0000
Se  0.8359  0.1657  0.6717
Se  0.1641  0.8343  0.3283

## Properties
D(E_F), states/eV/cell: 2.3

=====

7.
DFT (PBE-GGA) results for a geometry-optimized Tm4SiSbSe2 structure.

Unit cell a=4.1264 b=7.1265 c=7.1987 alpha=70.55 beta=90.00 gamma=90.00
Fractional coordinates of all 8 atoms:
Tm  0.0000  0.7472  0.7350
Tm  0.0000  0.2528  0.2650
Tm  0.5000  0.7391  0.2665
Tm  0.5000  0.2609  0.7335
Si  0.0000  0.5000  0.5000
Sb  0.5000  0.5000  0.0000
Se  0.0000  0.0000  0.0000
Se  0.5000  0.0000  0.5000

## Properties
D(E_F), states/eV/cell: 1.4

=====

8.
DFT (PBE-GGA) results for a geometry-optimized Sm3SbSe structure.

Unit cell a=4.2882 b=7.2557 c=12.1182 alpha=116.17 beta=90.00 gamma=90.00
Fractional coordinates of all 10 atoms:
Sm  0.2500  0.2351  0.9241
Sm  0.7500  0.7649  0.0759
Sm  0.2500  0.1718  0.4173
Sm  0.7500  0.8282  0.5827
Sm  0.2500  0.5680  0.7561
Sm  0.7500  0.4320  0.2439
Sb  0.2500  0.1049  0.1475
Sb  0.7500  0.8951  0.8525
Se  0.2500  0.1326  0.6519
Se  0.7500  0.8674  0.3481

## Properties
D(E_F), states/eV/cell: 9.6

=====

9.
DFT (PBE-GGA) results for a geometry-optimized Sm3SbSe structure.

Unit cell a=4.2333 b=8.6397 c=15.7923 alpha=90.00 beta=90.00 gamma=90.00
Fractional coordinates of all 20 atoms:
Sm  0.2500  0.3450  0.5444
Sm  0.7500  0.8326  0.2146
Sm  0.7500  0.5157  0.8903
Sm  0.7500  0.0157  0.6097
Sm  0.7500  0.6550  0.4556
Sm  0.2500  0.9843  0.3903
Sm  0.2500  0.8450  0.9556
Sm  0.7500  0.3326  0.2854
Sm  0.2500  0.6674  0.7146
Sm  0.2500  0.1674  0.7854
Sm  0.7500  0.1550  0.0444
Sm  0.2500  0.4843  0.1097
Sb  0.7500  0.8853  0.8045
Sb  0.2500  0.1147  0.1955
Sb  0.7500  0.3853  0.6955
Sb  0.2500  0.6147  0.3045
Se  0.2500  0.3088  0.9505
Se  0.2500  0.8088  0.5495
Se  0.7500  0.1912  0.4505
Se  0.7500  0.6912  0.0495

## Properties
D(E_F), states/eV/cell: 9.4

=====

10.
DFT (PBE-GGA) results for a geometry-optimized Sm6SbSe12 structure.

Unit cell a=8.3018 b=8.3018 c=8.3018 alpha=98.54 beta=98.54 gamma=98.54
Fractional coordinates of all 19 atoms:
Sm  0.6789  0.8611  0.3615
Sm  0.6385  0.3211  0.1389
Sm  0.1389  0.6385  0.3211
Sm  0.3211  0.1389  0.6385
Sm  0.3615  0.6789  0.8611
Sm  0.8611  0.3615  0.6789
Sb  0.0000  0.0000  0.0000
Se  0.8193  0.5714  0.4219
Se  0.4219  0.8193  0.5714
Se  0.5714  0.4219  0.8193
Se  0.1807  0.4286  0.5781
Se  0.5781  0.1807  0.4286
Se  0.4286  0.5781  0.1807
Se  0.0418  0.9786  0.3333
Se  0.0214  0.6667  0.9582
Se  0.6667  0.9582  0.0214
Se  0.9582  0.0214  0.6667
Se  0.9786  0.3333  0.0418
Se  0.3333  0.0418  0.9786

## Properties
D(E_F), states/eV/cell: 11.7

=====

11.
DFT (PBE-GGA) results for a geometry-optimized Sm2SbSe structure.

Unit cell a=4.2336 b=4.2336 c=7.9342 alpha=74.53 beta=74.53 gamma=60.00
Fractional coordinates of all 4 atoms:
Sm  0.0827  0.0827  0.7519
Sm  0.2511  0.2511  0.2468
Sb  0.6677  0.6677  0.9969
Se  0.4985  0.4985  0.5044

## Properties
D(E_F), states/eV/cell: 3.3

=====

12.
DFT (PBE-GGA) results for a geometry-optimized SmSbSe4 structure.

Unit cell a=6.3733 b=6.3733 c=9.7188 alpha=90.00 beta=90.00 gamma=103.28
Fractional coordinates of all 12 atoms:
Sm  0.3653  0.3653  0.7500
Sm  0.6347  0.6347  0.2500
Sb  0.8930  0.8930  0.7500
Sb  0.1070  0.1070  0.2500
Se  0.7174  0.1191  0.2500
Se  0.2826  0.8809  0.7500
Se  0.1191  0.7174  0.2500
Se  0.8809  0.2826  0.7500
Se  0.6624  0.6624  0.5604
Se  0.3376  0.3376  0.0604
Se  0.6624  0.6624  0.9396
Se  0.3376  0.3376  0.4396

## Properties
D(E_F), states/eV/cell: 4.0

=====

Values of formation energy (no corrections), in order: -1.04 -0.97 -1.19 -0.37 -0.29 -1.31 -1.33 -0.91 -1.20 -1.46 -1.40 -0.71, all in eV/atom.